1.
{
  "formula": "La5Pu3Bi12",
  "functional": "PBE",
  "state": "optimized geometry",
  "sg": "No. 230",
  "formation_enthalpy_0k_ev_per_fu": -3.44,
  "energy_ev_per_atom": -5.88,
  "lattice_angstrom": [[16.262, 0.000, 0.000], [-5.421, 15.332, 0.000], [-5.421, -7.666, 13.278]],
  "species": ["Bi", "Bi", "Bi", "Bi", "Bi", "Bi", "Bi", "Bi", "Bi", "Bi", "Bi", "Bi", "Bi", "Bi", "Bi", "Bi", "Bi", "Bi", "Bi", "Bi", "Bi", "Bi", "Bi", "Bi", "Bi", "Bi", "Bi", "Bi", "Bi", "Bi", "Bi", "Bi", "Bi", "Bi", "Bi", "Bi", "Bi", "Bi", "Bi", "Bi", "Bi", "Bi", "Bi", "Bi", "Bi", "Bi", "Bi", "Bi", "La", "La", "La", "La", "La", "La", "La", "La", "La", "La", "La", "La", "La", "La", "La", "La", "La", "La", "La", "La", "Pu", "Pu", "Pu", "Pu", "Pu", "Pu", "Pu", "Pu", "Pu", "Pu", "Pu", "Pu"],
  "fractional_positions": [[0.169, 0.098, 0.742], [0.927, 0.572, 0.169], [0.242, 0.573, 0.645], [0.928, 0.831, 0.573], [0.072, 0.902, 0.145], [0.145, 0.402, 0.072], [0.073, 0.645, 0.742], [0.098, 0.928, 0.355], [0.758, 0.427, 0.355], [0.831, 0.902, 0.258], [0.927, 0.355, 0.258], [0.428, 0.355, 0.598], [0.902, 0.072, 0.645], [0.573, 0.331, 0.928], [0.098, 0.169, 0.242], [0.573, 0.242, 0.145], [0.331, 0.573, 0.428], [0.427, 0.758, 0.855], [0.402, 0.258, 0.331], [0.402, 0.145, 0.572], [0.258, 0.402, 0.831], [0.355, 0.927, 0.758], [0.742, 0.598, 0.169], [0.073, 0.428, 0.831], [0.645, 0.073, 0.242], [0.742, 0.145, 0.073], [0.598, 0.742, 0.669], [0.072, 0.169, 0.427], [0.669, 0.427, 0.572], [0.258, 0.855, 0.927], [0.902, 0.831, 0.758], [0.428, 0.073, 0.331], [0.572, 0.645, 0.402], [0.831, 0.928, 0.073], [0.572, 0.927, 0.669], [0.598, 0.855, 0.428], [0.331, 0.758, 0.402], [0.355, 0.428, 0.098], [0.169, 0.072, 0.927], [0.758, 0.331, 0.902], [0.855, 0.258, 0.427], [0.669, 0.242, 0.598], [0.427, 0.669, 0.072], [0.645, 0.572, 0.902], [0.242, 0.669, 0.098], [0.928, 0.098, 0.855], [0.855, 0.598, 0.928], [0.145, 0.742, 0.573], [0.250, 0.875, 0.125], [0.000, 0.000, 0.500], [0.125, 0.375, 0.250], [0.500, 0.500, 0.500], [0.250, 0.375, 0.625], [0.000, 0.000, 0.000], [0.750, 0.625, 0.375], [0.625, 0.750, 0.875], [0.500, 0.500, 0.000], [0.000, 0.500, 0.500], [0.375, 0.125, 0.750], [0.875, 0.625, 0.750], [0.875, 0.250, 0.625], [0.625, 0.875, 0.250], [0.750, 0.125, 0.875], [0.125, 0.750, 0.375], [0.375, 0.250, 0.125], [0.000, 0.500, 0.000], [0.500, 0.000, 0.000], [0.500, 0.000, 0.500], [0.375, 0.625, 0.250], [0.875, 0.750, 0.125], [0.750, 0.875, 0.625], [0.625, 0.250, 0.375], [0.750, 0.375, 0.125], [0.250, 0.625, 0.875], [0.125, 0.250, 0.875], [0.250, 0.125, 0.375], [0.125, 0.875, 0.750], [0.875, 0.125, 0.250], [0.375, 0.750, 0.625], [0.625, 0.375, 0.750]]
}



2.
{
  "formula": "BaLa3Ga",
  "functional": "PBE",
  "state": "optimized geometry",
  "sg": "No. 221",
  "formation_enthalpy_0k_ev_per_fu": 4.25,
  "energy_ev_per_atom": -3.10,
  "lattice_angstrom": [[5.987, 0.000, 0.000], [0.000, 5.987, 0.000], [0.000, 0.000, 5.987]],
  "species": ["La", "La", "La", "Ga", "Ba"],
  "fractional_positions": [[0.500, 0.000, 0.000], [0.000, 0.000, 0.500], [0.000, 0.500, 0.000], [0.500, 0.500, 0.500], [0.000, 0.000, 0.000]]
}



3.
{
  "formula": "Zn4CrMo",
  "functional": "PBE",
  "state": "optimized geometry",
  "sg": "No. 216",
  "formation_enthalpy_0k_ev_per_fu": 0.83,
  "energy_ev_per_atom": -4.12,
  "lattice_angstrom": [[0.964, -2.732, 4.009], [-3.683, -2.298, 2.370], [-0.384, -4.927, -0.214]],
  "species": ["Zn", "Zn", "Zn", "Zn", "Mo", "Cr"],
  "fractional_positions": [[0.375, 0.375, 0.874], [0.874, 0.375, 0.375], [0.375, 0.375, 0.375], [0.375, 0.874, 0.375], [0.000, 0.000, 0.000], [0.750, 0.750, 0.750]]
}



4.
{
  "formula": "NaLiHg2Bi",
  "functional": "PBE",
  "state": "optimized geometry",
  "sg": "No. 63",
  "formation_enthalpy_0k_ev_per_fu": -0.74,
  "energy_ev_per_atom": -1.69,
  "lattice_angstrom": [[5.863, 0.000, 0.000], [0.000, 5.909, 0.000], [0.000, -2.955, 7.726]],
  "species": ["Li", "Li", "Hg", "Hg", "Hg", "Hg", "Na", "Na", "Bi", "Bi"],
  "fractional_positions": [[0.750, 0.351, 0.702], [0.250, 0.649, 0.298], [0.000, 0.748, 0.000], [0.500, 0.748, 0.000], [0.000, 0.252, 0.000], [0.500, 0.252, 0.000], [0.250, 0.846, 0.692], [0.750, 0.154, 0.308], [0.750, 0.745, 0.490], [0.250, 0.255, 0.510]]
}



5.
{
  "formula": "MgTl6Br8",
  "functional": "PBE",
  "state": "optimized geometry",
  "sg": "No. 148",
  "energy_ev_per_atom": -2.91,
  "raw_formation_energy_mev_per_atom": -966,
  "lattice_angstrom": [[-3.840, -6.913, 3.267], [3.596, -7.058, -3.234], [5.079, -3.571, 5.888]],
  "species": ["Tl", "Tl", "Tl", "Tl", "Tl", "Tl", "Br", "Br", "Br", "Br", "Br", "Br", "Br", "Br", "Mg"],
  "fractional_positions": [[0.056, 0.474, 0.703], [0.944, 0.526, 0.297], [0.703, 0.056, 0.474], [0.297, 0.944, 0.526], [0.474, 0.703, 0.056], [0.526, 0.297, 0.944], [0.850, 0.305, 0.086], [0.336, 0.336, 0.336], [0.664, 0.664, 0.664], [0.695, 0.914, 0.150], [0.150, 0.695, 0.914], [0.305, 0.086, 0.850], [0.086, 0.850, 0.305], [0.914, 0.150, 0.695], [0.000, 0.000, 0.000]]
}



6.
{
  "formula": "Tl3Sn2Sb4",
  "functional": "PBE",
  "state": "optimized geometry",
  "sg": "No. 12",
  "energy_ev_per_atom": -3.42,
  "raw_formation_energy_mev_per_atom": 89,
  "lattice_angstrom": [[4.131, 0.000, 0.771], [1.800, 7.620, 1.807], [0.219, -0.486, 10.277]],
  "species": ["Sb", "Sb", "Sb", "Sb", "Tl", "Tl", "Tl", "Sn", "Sn"],
  "fractional_positions": [[0.244, 0.322, 0.190], [0.403, 0.813, 0.381], [0.597, 0.187, 0.619], [0.756, 0.678, 0.810], [0.624, 0.630, 0.123], [0.000, 0.500, 0.500], [0.376, 0.370, 0.877], [0.220, 0.900, 0.659], [0.780, 0.100, 0.341]]
}



7.
{
  "formula": "Er4MgIn2",
  "functional": "PBE",
  "state": "optimized geometry",
  "sg": "No. 166",
  "formation_enthalpy_0k_ev_per_fu": -1.59,
  "energy_ev_per_atom": -3.84,
  "lattice_angstrom": [[-3.307, 3.956, -0.766], [-5.085, -0.633, 0.952], [-1.632, 3.608, 7.948]],
  "species": ["In", "In", "Er", "Er", "Er", "Er", "Mg"],
  "fractional_positions": [[0.255, 0.255, 0.235], [0.745, 0.745, 0.765], [0.870, 0.870, 0.391], [0.384, 0.384, 0.847], [0.616, 0.616, 0.153], [0.130, 0.130, 0.609], [0.000, 0.000, 0.000]]
}



8.
{
  "formula": "Li3Sm2Cu12Si",
  "functional": "PBE",
  "state": "optimized geometry",
  "sg": "No. 166",
  "energy_ev_per_atom": -3.67,
  "raw_formation_energy_mev_per_atom": 209,
  "lattice_angstrom": [[-2.023, 2.601, -6.522], [-7.252, 0.882, -0.180], [-1.652, 7.096, 0.561]],
  "species": ["Cu", "Cu", "Cu", "Cu", "Cu", "Cu", "Cu", "Cu", "Cu", "Cu", "Cu", "Cu", "Li", "Li", "Li", "Si", "Sm", "Sm"],
  "fractional_positions": [[0.609, 0.984, 0.609], [0.844, 0.844, 0.329], [0.329, 0.844, 0.844], [0.391, 0.391, 0.016], [0.671, 0.156, 0.156], [0.844, 0.329, 0.844], [0.016, 0.391, 0.391], [0.156, 0.671, 0.156], [0.391, 0.016, 0.391], [0.156, 0.156, 0.671], [0.609, 0.609, 0.984], [0.984, 0.609, 0.609], [0.500, 0.000, 0.000], [0.000, 0.500, 0.000], [0.000, 0.000, 0.500], [0.000, 0.000, 0.000], [0.598, 0.598, 0.598], [0.402, 0.402, 0.402]]
}



Calculated total magnetization (μB per atom), listed in the same order as above: 0.783; 0.000; 0.028; 0.000; 0.000; 0.000; 0.000; 0.000
Calculated DOS(E_F) (states/eV per cell), listed in the same order as above: 202.378; 6.235; 1.551; 3.544; 0.000; 4.217; 5.276; 7.673